Here is a geometry-optimized ThTlSn structure from Alexandria. Energies are from PBE.

Cell lengths 8.6584, 8.6584, 4.4670 Å; angles 90.00, 90.00, 148.76 degrees
Last column: nearest neighbours and their distance in Å.
Fractional positions:
Th1 0.0922 0.9078 0.7500  6 Sn 3.25-3.55, 4 Tl 3.48-3.49
Th2 0.9078 0.0922 0.2500  6 Sn 3.25-3.55, 4 Tl 3.48-3.49
Tl1 0.2532 0.7468 0.2500  4 Tl 3.23, 4 Th 3.48-3.49
Tl2 0.7468 0.2532 0.7500  4 Tl 3.23, 4 Th 3.48-3.49
Sn1 0.4317 0.5683 0.7500  2 Sn 3.19, 6 Th 3.25-3.55
Sn2 0.5683 0.4317 0.2500  2 Sn 3.19, 6 Th 3.25-3.55

Calculated values
The value obtained for the formation enthalpy at 0 K is -0.31 eV per atom. The density of states at the Fermi level is 2.2 states/eV/f.u. As for the total energy: -29.5 eV for the cell shown.